1.
Ac2Tl3CrTe6: relaxed, PBE.

Results
DOS at the Fermi energy	0.4	states/eV/f.u.
symmetry	C2/m, No. 12
formation energy from raw total energies	-0.771	eV/atom

The structure in POSCAR format:
```
Ac2Tl3CrTe6
1.0
3.9897 -6.8814 0.0000
3.9897 6.8814 0.0000
-2.6582 0.0000 8.0571
Ac Tl Cr Te
2 3 1 6
direct
0.1648 0.8352 0.0000 Ac
0.8352 0.1648 0.0000 Ac
0.0000 0.0000 0.5000 Tl
0.3214 0.6786 0.5000 Tl
0.6786 0.3214 0.5000 Tl
0.5000 0.5000 0.0000 Cr
0.1407 0.4310 0.7908 Te
0.2844 0.2844 0.2225 Te
0.4310 0.1407 0.7908 Te
0.5690 0.8593 0.2092 Te
0.7156 0.7156 0.7775 Te
0.8593 0.5690 0.2092 Te
```


2.
AcZn11Cr: relaxed, PBE.

Results
DOS at the Fermi energy	5.6	states/eV/f.u.
symmetry	C2/m, No. 12
E_form	-0.094	eV/atom

The structure in POSCAR format:
```
AcZn11Cr
1.0
2.6298 -6.4859 0.0000
2.6298 6.4859 0.0000
-2.5873 0.0000 6.5025
Ac Zn Cr
1 11 1
direct
0.0000 0.0000 0.0000 Ac
0.0000 0.0000 0.5000 Zn
0.0000 0.5000 0.0000 Zn
0.0214 0.3744 0.3608 Zn
0.2682 0.5023 0.7679 Zn
0.3744 0.0214 0.3608 Zn
0.4977 0.7318 0.2321 Zn
0.5000 0.0000 0.0000 Zn
0.5023 0.2682 0.7679 Zn
0.6256 0.9786 0.6392 Zn
0.7318 0.4977 0.2321 Zn
0.9786 0.6256 0.6392 Zn
0.5000 0.5000 0.5000 Cr
```


3.
CsAc2Cu: relaxed, PBE.

Results
DOS at the Fermi energy	6.1	states/eV/f.u.
symmetry	R-3m, No. 166
E_form	0.206	eV/atom

The structure in POSCAR format:
```
CsAc2Cu
1.0
2.1147 1.2209 12.1844
-2.1147 1.2209 12.1844
0.0000 -2.4418 12.1844
Cs Ac Cu
1 2 1
direct
0.0000 0.0000 0.0000 Cs
0.1165 0.1165 0.1165 Ac
0.8835 0.8835 0.8835 Ac
0.5000 0.5000 0.5000 Cu
```


4.
CsAcCuF6: relaxed, PBE.

Results
symmetry	Imma, No. 74
formation energy from raw total energies	-2.978	eV/atom

The structure in POSCAR format:
```
CsAcCuF6
1.0
-4.0771 4.0927 5.1582
4.0771 -4.0927 5.1582
4.0771 4.0927 -5.1582
Cs Ac Cu F
2 2 2 12
direct
0.4239 0.1739 0.2500 Cs
0.5761 0.8261 0.7500 Cs
0.0000 0.0000 0.5000 Ac
0.0000 0.5000 0.0000 Ac
0.0000 0.5000 0.5000 Cu
0.5000 0.5000 0.0000 Cu
0.1337 0.8837 0.2500 F
0.1446 0.3946 0.7500 F
0.1483 0.4571 0.3432 F
0.1483 0.8051 0.6912 F
0.3861 0.1949 0.8432 F
0.3861 0.5429 0.1912 F
0.6139 0.4571 0.8088 F
0.6139 0.8051 0.1568 F
0.8517 0.1949 0.3088 F
0.8517 0.5429 0.6568 F
0.8554 0.6054 0.2500 F
0.8663 0.1163 0.7500 F
```


5.
Cs2AcCu3F12: relaxed, PBE.

Results
DOS at the Fermi energy	2.3	states/eV/f.u.
symmetry	R-3m, No. 166
formation energy from raw total energies	-2.421	eV/atom

The structure in POSCAR format:
```
Cs2AcCu3F12
1.0
3.8900 2.2459 5.6807
-3.8900 2.2459 5.6807
0.0000 -4.4918 5.6807
Cs Ac Cu F
2 1 3 12
direct
0.1078 0.1078 0.1078 Cs
0.8922 0.8922 0.8922 Cs
0.5000 0.5000 0.5000 Ac
0.0000 0.5000 0.5000 Cu
0.5000 0.0000 0.5000 Cu
0.5000 0.5000 0.0000 Cu
0.0956 0.6215 0.6215 F
0.2318 0.2318 0.5928 F
0.2318 0.5928 0.2318 F
0.3785 0.3785 0.9044 F
0.3785 0.9044 0.3785 F
0.4072 0.7682 0.7682 F
0.5928 0.2318 0.2318 F
0.6215 0.0956 0.6215 F
0.6215 0.6215 0.0956 F
0.7682 0.4072 0.7682 F
0.7682 0.7682 0.4072 F
0.9044 0.3785 0.3785 F
```


6.
CsAcCuI5: relaxed, PBE.

Results
DOS at the Fermi energy	0.0	states/eV/f.u.
symmetry	C2/c, No. 15
formation energy from raw total energies	-1.169	eV/atom

The structure in POSCAR format:
```
CsAcCuI5
1.0
5.2899 -6.9856 0.0000
5.2899 6.9856 0.0000
-4.8044 0.0000 10.9814
Cs Ac Cu I
2 2 2 10
direct
0.1373 0.8627 0.7500 Cs
0.8627 0.1373 0.2500 Cs
0.5000 0.5000 0.0000 Ac
0.5000 0.5000 0.5000 Ac
0.1893 0.8107 0.2500 Cu
0.8107 0.1893 0.7500 Cu
0.1030 0.2694 0.9243 I
0.1785 0.5949 0.3722 I
0.2694 0.1030 0.4243 I
0.4051 0.8215 0.1278 I
0.4080 0.5920 0.7500 I
0.5920 0.4080 0.2500 I
0.5949 0.1785 0.8722 I
0.7306 0.8970 0.5757 I
0.8215 0.4051 0.6278 I
0.8970 0.7306 0.0757 I
```


7.
Cs3AcCu2I9: relaxed, PBE.

Results
DOS at the Fermi energy	6.8	states/eV/f.u.
symmetry	P-3m1, No. 164
formation energy from raw total energies	-1.011	eV/atom

The structure in POSCAR format:
```
Cs3AcCu2I9
1.0
8.4323 0.0000 0.0000
-4.2161 7.3025 0.0000
0.0000 0.0000 10.5369
Cs Ac Cu I
3 1 2 9
direct
0.0000 0.0000 0.0000 Cs
0.3333 0.6667 0.6855 Cs
0.6667 0.3333 0.3145 Cs
0.0000 0.0000 0.5000 Ac
0.3333 0.6667 0.1313 Cu
0.6667 0.3333 0.8687 Cu
0.0000 0.5000 0.0000 I
0.1767 0.3534 0.3167 I
0.1767 0.8233 0.3167 I
0.3534 0.1767 0.6833 I
0.5000 0.0000 0.0000 I
0.5000 0.5000 0.0000 I
0.6466 0.8233 0.3167 I
0.8233 0.1767 0.6833 I
0.8233 0.6466 0.6833 I
```


8.
CsAcCuI6: relaxed, PBE.

Results
DOS at the Fermi energy	2.9	states/eV/f.u.
symmetry	P1, No. 1
formation energy from raw total energies	-1.021	eV/atom

The structure in POSCAR format:
```
CsAcCuI6
1.0
7.5916 0.0000 0.0000
-1.9102 7.3520 0.0000
-1.2402 -1.6478 8.4201
Cs Ac Cu I
1 1 1 6
direct
0.0000 0.0000 0.0000 Cs
0.3877 0.6161 0.5001 Ac
0.7568 0.2456 0.5041 Cu
0.0810 0.5603 0.1918 I
0.1043 0.2941 0.6390 I
0.4411 0.9248 0.8079 I
0.5220 0.2990 0.2752 I
0.6974 0.4805 0.7303 I
0.7194 0.8993 0.3703 I
```


9.
CsAcCuO4: relaxed, PBE.

Results
DOS at the Fermi energy	2.6	states/eV/f.u.
symmetry	P2_1/m, No. 11
formation energy from raw total energies	-1.555	eV/atom

The structure in POSCAR format:
```
CsAcCuO4
1.0
6.1053 0.0000 0.0000
0.0000 5.8486 0.0000
-2.3740 0.0000 7.9629
Cs Ac Cu O
2 2 2 8
direct
0.2082 0.2500 0.4346 Cs
0.7918 0.7500 0.5654 Cs
0.2649 0.2500 0.9526 Ac
0.7351 0.7500 0.0474 Ac
0.2840 0.7500 0.1855 Cu
0.7160 0.2500 0.8145 Cu
0.0796 0.7500 0.3052 O
0.1012 0.7500 0.9587 O
0.4858 0.5127 0.1873 O
0.4858 0.9873 0.1873 O
0.5142 0.0127 0.8127 O
0.5142 0.4873 0.8127 O
0.8988 0.2500 0.0413 O
0.9204 0.2500 0.6948 O
```


10.
Cs3Ac3CuO8: relaxed, PBE.

Results
DOS at the Fermi energy	13.1	states/eV/f.u.
symmetry	C2/m, No. 12
formation energy from raw total energies	-2.007	eV/atom

The structure in POSCAR format:
```
Cs3Ac3CuO8
1.0
6.7756 -3.6151 0.0000
6.7756 3.6151 0.0000
-4.1053 0.0000 6.9698
Cs Ac Cu O
3 3 1 8
direct
0.0000 0.0000 0.0000 Cs
0.0000 0.5000 0.0000 Cs
0.5000 0.0000 0.0000 Cs
0.0000 0.5000 0.5000 Ac
0.5000 0.0000 0.5000 Ac
0.5000 0.5000 0.5000 Ac
0.0000 0.0000 0.5000 Cu
0.1592 0.7743 0.6272 O
0.2257 0.8408 0.3728 O
0.2848 0.2848 0.3202 O
0.2967 0.2967 0.7271 O
0.7033 0.7033 0.2729 O
0.7152 0.7152 0.6798 O
0.7743 0.1592 0.6272 O
0.8408 0.2257 0.3728 O
```


11.
CsAc2CuO5: relaxed, PBE.

Results
symmetry	P4/mbm, No. 127
formation energy from raw total energies	-2.229	eV/atom

The structure in POSCAR format:
```
CsAc2CuO5
1.0
7.2374 0.0000 0.0000
0.0000 7.2374 0.0000
0.0000 0.0000 5.8918
Cs Ac Cu O
2 4 2 10
direct
0.0000 0.0000 0.0000 Cs
0.5000 0.5000 0.0000 Cs
0.1823 0.3177 0.5000 Ac
0.3177 0.8177 0.5000 Ac
0.6823 0.1823 0.5000 Ac
0.8177 0.6823 0.5000 Ac
0.0000 0.5000 0.0000 Cu
0.5000 0.0000 0.0000 Cu
0.0000 0.0000 0.5000 O
0.1230 0.6230 0.2381 O
0.1230 0.6230 0.7619 O
0.3770 0.1230 0.2381 O
0.3770 0.1230 0.7619 O
0.5000 0.5000 0.5000 O
0.6230 0.8770 0.2381 O
0.6230 0.8770 0.7619 O
0.8770 0.3770 0.2381 O
0.8770 0.3770 0.7619 O
```


12.
Cs2AcCu2O4: relaxed, PBE.

Results
DOS at the Fermi energy	9.1	states/eV/f.u.
symmetry	C2/m, No. 12
formation energy from raw total energies	-1.517	eV/atom

The structure in POSCAR format:
```
Cs2AcCu2O4
1.0
6.2694 -2.0838 0.0000
6.2694 2.0838 0.0000
-5.5898 0.0000 8.1491
Cs Ac Cu O
2 1 2 4
direct
0.0970 0.0970 0.4150 Cs
0.9030 0.9030 0.5850 Cs
0.5000 0.5000 0.0000 Ac
0.2920 0.2920 0.1727 Cu
0.7080 0.7080 0.8273 Cu
0.1415 0.1415 0.1550 O
0.4466 0.4466 0.2049 O
0.5534 0.5534 0.7951 O
0.8585 0.8585 0.8450 O
```


Short version: volume = 442.4; 221.8; 188.7; 344.3; 297.8; 811.6; 648.8; 470.0; 284.3; 341.4; 308.6; 212.9 Å³ per cell, in the order given.
Short version: total magnetic moment = 3.0; 3.2; 0.0; 1.0; 4.0; 0.1; 0.0; 0.9; 3.0; 1.1; 0.0; 1.1 μB/f.u., in the order given.